8
Lattice="4.289 0.000 0.000 2.144 3.714 0.000 2.144 1.238 8.231" Properties=species:S:1:pos:R:3 comment="PBE LiPmNi4Sn2, relaxed" spacegroup="R-3m, No. 166" magnetic_moment_mub_per_atom=0.000 e_form_ev_per_atom=-0.34 pbc="T T T"
Li 4.289 2.476 4.116
Pm 0.000 0.000 0.000
Ni 4.289 2.476 6.509
Ni 6.433 3.714 3.214
Ni 2.144 1.238 5.017
Ni 4.289 2.476 1.722
Sn 6.433 3.714 5.864
Sn 2.144 1.238 2.367